Record 1
! Na15W7N19 | Alexandria | GGA-PBE | optimized geometry; values from VASP
&SYSTEM
  ibrav = 0, nat = 82, ntyp = 3
/
ATOMIC_SPECIES
Na 22.99 Na.upf
W 183.84 W.upf
N 14.01 N.upf
CELL_PARAMETERS angstrom
6.291 0.000 0.000
-2.579 11.485 0.000
-1.201 -0.833 18.810
ATOMIC_POSITIONS crystal
Na 0.000 0.000 0.000
Na 0.040 0.124 0.450
Na 0.043 0.648 0.636
Na 0.076 0.867 0.837
Na 0.151 0.977 0.298
Na 0.176 0.426 0.519
Na 0.184 0.727 0.395
Na 0.195 0.610 0.994
Na 0.236 0.497 0.194
Na 0.320 0.657 0.835
Na 0.359 0.269 0.295
Na 0.401 0.192 0.805
Na 0.405 0.413 0.916
Na 0.410 0.518 0.364
Na 0.460 0.857 0.005
Na 0.500 0.000 0.500
Na 0.540 0.143 0.995
Na 0.590 0.482 0.636
Na 0.595 0.587 0.084
Na 0.599 0.808 0.195
Na 0.641 0.731 0.705
Na 0.680 0.343 0.165
Na 0.764 0.503 0.806
Na 0.805 0.390 0.006
Na 0.816 0.273 0.605
Na 0.824 0.574 0.481
Na 0.849 0.023 0.702
Na 0.924 0.133 0.163
Na 0.957 0.352 0.364
Na 0.960 0.876 0.550
W 0.083 0.748 0.131
W 0.176 0.420 0.724
W 0.200 0.281 0.056
W 0.245 0.168 0.615
W 0.298 0.912 0.693
W 0.398 0.041 0.144
W 0.459 0.734 0.541
W 0.541 0.266 0.459
W 0.602 0.959 0.856
W 0.702 0.088 0.307
W 0.755 0.832 0.385
W 0.800 0.719 0.944
W 0.824 0.580 0.276
W 0.917 0.252 0.869
N 0.015 0.850 0.705
N 0.020 0.338 0.113
N 0.030 0.905 0.418
N 0.057 0.254 0.961
N 0.072 0.536 0.307
N 0.128 0.336 0.812
N 0.201 0.904 0.171
N 0.211 0.628 0.511
N 0.238 0.129 0.088
N 0.250 0.321 0.648
N 0.305 0.676 0.122
N 0.329 0.334 0.421
N 0.338 0.078 0.690
N 0.383 0.842 0.612
N 0.391 0.994 0.907
N 0.404 0.546 0.739
N 0.432 0.177 0.539
N 0.467 0.380 0.054
N 0.467 0.869 0.773
N 0.533 0.131 0.227
N 0.533 0.620 0.946
N 0.568 0.823 0.461
N 0.596 0.454 0.261
N 0.609 0.006 0.093
N 0.617 0.158 0.388
N 0.662 0.922 0.310
N 0.671 0.666 0.579
N 0.695 0.324 0.878
N 0.750 0.679 0.352
N 0.762 0.871 0.912
N 0.789 0.372 0.489
N 0.799 0.096 0.829
N 0.872 0.664 0.188
N 0.928 0.464 0.693
N 0.943 0.746 0.039
N 0.970 0.095 0.582
N 0.980 0.662 0.887
N 0.985 0.150 0.295
! - Calculated volume: 16.58 Å³/atom
! - Crystal system: triclinic
! - Symmetry: No. 2
! - DFT total energy: -7.017 eV per atom

Record 2
! NaW3N | Alexandria | GGA-PBE | optimized geometry; values from VASP
&SYSTEM
  ibrav = 0, nat = 5, ntyp = 3
/
ATOMIC_SPECIES
Na 22.99 Na.upf
W 183.84 W.upf
N 14.01 N.upf
CELL_PARAMETERS angstrom
4.488 0.000 0.000
0.000 4.488 0.000
0.000 0.000 4.488
ATOMIC_POSITIONS crystal
Na 0.000 0.000 0.000
W 0.000 0.000 0.500
W 0.000 0.500 0.000
W 0.500 0.000 0.000
N 0.500 0.500 0.500
! - Calculated volume: 18.08 Å³/atom
! - Crystal system: cubic
! - Symmetry: No. 221
! - DOS(E_F): 1.2887 states/eV per atom
! - ΔE to the lowest computed polymorph: 3.555 eV/atom
! - DFT total energy: -5.517 eV per atom

Record 3
! NaW3N | Alexandria | GGA-PBE | optimized geometry; values from VASP
&SYSTEM
  ibrav = 0, nat = 5, ntyp = 3
/
ATOMIC_SPECIES
Na 22.99 Na.upf
W 183.84 W.upf
N 14.01 N.upf
CELL_PARAMETERS angstrom
4.187 0.000 0.000
0.000 4.187 0.000
0.000 0.000 4.187
ATOMIC_POSITIONS crystal
Na 0.000 0.000 0.000
W 0.000 0.500 0.500
W 0.500 0.000 0.500
W 0.500 0.500 0.000
N 0.500 0.500 0.500
! - Calculated volume: 14.68 Å³/atom
! - Crystal system: cubic
! - Symmetry: No. 221
! - DOS(E_F): 0.6953 states/eV per atom
! - ΔE to the lowest computed polymorph: 0.000 eV/atom
! - DFT total energy: -9.072 eV per atom